(1)
Density functional theory data (PBE) for an optimized crystal structure of Cd2InC. Values from VASP.

Properties
The calculation puts the excess energy over the best structure of this formula in the dataset at 0.000 eV/f.u. The total DFT energy (no corrections) comes out at -2.52 eV per atom. The magnetic moment is 0.000 μB per atom. For the density of states at the Fermi level, the calculation gives 8.06 states/eV per cell. As for the calculated formation energy: 0.92 eV/atom.

Cell and atoms, written as Quantum ESPRESSO input:
```
&SYSTEM
  ibrav = 0, nat = 8, ntyp = 3
/
ATOMIC_SPECIES
In 114.82 In.upf
C 12.01 C.upf
Cd 112.41 Cd.upf
CELL_PARAMETERS angstrom
6.867 0.000 0.000
0.000 6.867 0.000
3.433 3.433 4.884
ATOMIC_POSITIONS crystal
In 0.750 0.250 0.500
In 0.000 0.000 0.000
C 0.500 0.500 0.000
C 0.250 0.750 0.500
Cd 0.373 0.625 0.250
Cd 0.377 0.125 0.250
Cd 0.875 0.627 0.750
Cd 0.375 0.623 0.750
```

***

(2)
Density functional theory data (PBE) for an optimized crystal structure of CdInC3. Values from VASP.

Properties
The calculation puts the excess energy over the best structure of this formula in the dataset at 0.540 eV/f.u. The total DFT energy (no corrections) comes out at -3.17 eV per atom. The magnetic moment is 0.188 μB per atom. For the density of states at the Fermi level, the calculation gives 3.35 states/eV per cell. As for the calculated formation energy: 3.09 eV/atom.

Cell and atoms, written as Quantum ESPRESSO input:
```
&SYSTEM
  ibrav = 0, nat = 5, ntyp = 3
/
ATOMIC_SPECIES
Cd 112.41 Cd.upf
C 12.01 C.upf
In 114.82 In.upf
CELL_PARAMETERS angstrom
4.352 0.000 0.000
0.000 4.352 0.000
0.000 0.000 4.352
ATOMIC_POSITIONS crystal
Cd 0.000 0.000 0.000
C 0.500 0.000 0.000
C 0.000 0.500 0.000
C 0.000 0.000 0.500
In 0.500 0.500 0.500
```

***

(3)
Density functional theory data (PBE) for an optimized crystal structure of CdInC2. Values from VASP.

Properties
The total DFT energy (no corrections) comes out at -3.75 eV per atom. The magnetic moment is 0.000 μB per atom. For the density of states at the Fermi level, the calculation gives 7.13 states/eV per cell. As for the calculated formation energy: 1.78 eV/atom.

Cell and atoms, written as Quantum ESPRESSO input:
```
&SYSTEM
  ibrav = 0, nat = 8, ntyp = 3
/
ATOMIC_SPECIES
In 114.82 In.upf
C 12.01 C.upf
Cd 112.41 Cd.upf
CELL_PARAMETERS angstrom
-1.379 -3.724 3.153
3.730 1.307 3.176
-2.188 2.196 5.714
ATOMIC_POSITIONS crystal
In 0.750 0.250 0.500
In 0.000 0.000 0.000
C 0.630 0.125 0.250
C 0.120 0.625 0.250
C 0.375 0.370 0.750
C 0.875 0.880 0.750
Cd 0.500 0.500 0.000
Cd 0.250 0.750 0.500
```

***

(4)
Density functional theory data (PBE) for an optimized crystal structure of CdInC3. Values from VASP.

Properties
The calculation puts the excess energy over the best structure of this formula in the dataset at 0.000 eV/f.u. The total DFT energy (no corrections) comes out at -3.28 eV per atom. The magnetic moment is 0.000 μB per atom. For the density of states at the Fermi level, the calculation gives 3.84 states/eV per cell. As for the calculated formation energy: 2.99 eV/atom.

Cell and atoms, written as Quantum ESPRESSO input:
```
&SYSTEM
  ibrav = 0, nat = 5, ntyp = 3
/
ATOMIC_SPECIES
C 12.01 C.upf
Cd 112.41 Cd.upf
In 114.82 In.upf
CELL_PARAMETERS angstrom
-2.084 3.371 1.867
-3.335 -0.515 -2.794
-1.930 -2.750 2.812
ATOMIC_POSITIONS crystal
C 0.000 0.500 0.000
C 0.500 0.000 0.000
C 0.000 0.000 0.500
Cd 0.500 0.500 0.500
In 0.000 0.000 0.000
```

***

(5)
Density functional theory data (PBE) for an optimized crystal structure of Cd3InC. Values from VASP.

Properties
The calculation puts the excess energy over the best structure of this formula in the dataset at 4.286 eV/f.u. The total DFT energy (no corrections) comes out at -1.35 eV per atom. The magnetic moment is 0.566 μB per atom. For the density of states at the Fermi level, the calculation gives 2.36 states/eV per cell. As for the calculated formation energy: 1.59 eV/atom.

Cell and atoms, written as Quantum ESPRESSO input:
```
&SYSTEM
  ibrav = 0, nat = 5, ntyp = 3
/
ATOMIC_SPECIES
Cd 112.41 Cd.upf
In 114.82 In.upf
C 12.01 C.upf
CELL_PARAMETERS angstrom
5.526 0.000 0.000
0.000 5.526 0.000
0.000 0.000 5.526
ATOMIC_POSITIONS crystal
Cd 0.500 0.000 0.000
Cd 0.000 0.500 0.000
Cd 0.000 0.000 0.500
In 0.000 0.000 0.000
C 0.500 0.500 0.500
```

***

(6)
Density functional theory data (PBE) for an optimized crystal structure of Cd3InC. Values from VASP.

Properties
The calculation puts the excess energy over the best structure of this formula in the dataset at 0.000 eV/f.u. The total DFT energy (no corrections) comes out at -2.20 eV per atom. The magnetic moment is 0.000 μB per atom. For the density of states at the Fermi level, the calculation gives 1.64 states/eV per cell. As for the calculated formation energy: 0.74 eV/atom.

Cell and atoms, written as Quantum ESPRESSO input:
```
&SYSTEM
  ibrav = 0, nat = 5, ntyp = 3
/
ATOMIC_SPECIES
Cd 112.41 Cd.upf
In 114.82 In.upf
C 12.01 C.upf
CELL_PARAMETERS angstrom
-4.410 -0.555 -1.666
0.880 -4.596 -0.796
-1.520 -1.048 4.373
ATOMIC_POSITIONS crystal
Cd 0.000 0.000 0.500
Cd 0.000 0.500 0.000
Cd 0.500 0.000 0.000
In 0.500 0.500 0.500
C 0.000 0.000 0.000
```